Entry 1:
Below is Tb5Pm2Ho2 after structural relaxation, with properties calculated at the PBE level.

Cell: 11.793 6.742 10.080 Å, 109.54 125.80 90.00°
Element x y z (fractional)
Tb 0.199 0.656 0.896
Tb 0.801 0.760 0.104
Tb 0.196 0.156 0.896
Tb 0.804 0.260 0.104
Tb 0.379 0.028 0.287
Tb 0.621 0.741 0.713
Tb 0.408 0.528 0.287
Tb 0.592 0.241 0.713
Tb 0.005 0.658 0.500
Tb 0.995 0.158 0.500
Pm 0.127 0.685 0.254
Pm 0.873 0.432 0.746
Pm 0.627 0.185 0.254
Pm 0.373 0.932 0.746
Ho 0.000 0.021 0.000
Ho 0.500 0.521 0.000
Ho 0.261 0.355 0.500
Ho 0.739 0.855 0.500

* formation energy from the elements: 0.2150 eV per atom
* final energy: -4.430 eV/atom
* crystal system: orthorhombic
* space-group type: Ima2, No. 46



Entry 2:
Below is YSbIr2I after structural relaxation, with properties calculated at the PBE level.

Cell: 5.100 5.639 5.100 Å, 90.00 90.00 90.00°
Element x y z (fractional)
I 0.000 0.500 0.000
Sb 0.500 0.500 0.500
Ir 0.000 0.000 0.500
Ir 0.500 0.000 0.000
Y 0.000 0.000 0.000

* formation energy (no corrections): 1.281 eV/atom
* final energy: -4.690 eV/atom
* crystal system: tetragonal
* space-group type: P4/mmm, No. 123



Entry 3:
Below is LaSiRu after structural relaxation, with properties calculated at the PBE level.

Cell: 4.696 4.696 4.696 Å, 60.00 60.00 60.00°
Element x y z (fractional)
La 0.750 0.750 0.750
Ru 0.000 0.000 0.000
Si 0.500 0.500 0.500

* formation energy (no corrections): 0.756 eV/atom
* final energy: -5.786 eV/atom
* crystal system: cubic
* space-group type: F-43m, No. 216



Entry 4:
Below is La2AuI after structural relaxation, with properties calculated at the PBE level.

Cell: 5.478 5.478 5.478 Å, 60.00 60.00 60.00°
Element x y z (fractional)
I 0.000 0.000 0.000
Au 0.500 0.500 0.500
La 0.250 0.250 0.250
La 0.750 0.750 0.750

* formation energy (no corrections): -0.728 eV/atom
* final energy: -4.398 eV/atom
* crystal system: cubic
* space-group type: Fm-3m, No. 225



Entry 5:
Below is TbAlZnGa2 after structural relaxation, with properties calculated at the PBE level.

Cell: 4.119 4.119 6.273 Å, 109.16 109.16 90.00°
Element x y z (fractional)
Tb 0.000 0.000 0.000
Al 0.250 0.750 0.500
Zn 0.750 0.250 0.500
Ga 0.610 0.610 0.220
Ga 0.390 0.390 0.780

* formation energy from the elements: -0.4178 eV per atom
* final energy: -3.558 eV/atom
* crystal system: tetragonal
* space-group type: I-4m2, No. 119



Entry 6:
Below is InHgSe2 after structural relaxation, with properties calculated at the PBE level.

Cell: 5.024 5.024 3.752 Å, 90.00 90.00 85.85°
Element x y z (fractional)
Hg 0.500 0.000 0.500
In 0.000 0.500 0.500
Se 0.000 0.000 0.000
Se 0.500 0.500 0.000

* formation energy (no corrections): 0.066 eV/atom
* final energy: -2.436 eV/atom
* crystal system: orthorhombic
* space-group type: Cmmm, No. 65